Entry from Alexandria via LeMat-Bulk: a relaxed structure of Ac2GeBiPd6 (PBE-GGA).

POSCAR file:
```
Ac2GeBiPd6
1.0
-5.4051 0.2488 -3.9197
-3.4704 -5.6911 2.8943
-4.7779 1.4480 2.6364
Pd Ac Bi Ge
6 2 1 1
Direct
0.2688 0.2663 0.4803
0.9043 0.4128 0.8420
0.0957 0.5872 0.1580
0.7312 0.7337 0.5197
0.7306 0.7342 0.0150
0.2694 0.2658 0.9850
0.7225 0.2313 0.5226
0.2775 0.7687 0.4774
0.0000 0.0000 0.0000
0.5000 0.5000 0.0000
```

Values from the calculation:
Raw total energy (eV/atom): -5.45
Volume (Å³/f.u.): 228.9
Crystal system: triclinic
Calculated formation energy (eV per atom): -0.66